A plane-wave DFT calculation with GGA+U was carried out for a geometry-optimized Pr2TmMoO6 structure.

Computed properties:
final energy: -161.8 eV for the cell shown
Fermi-level density of states: 0.00 states/eV/atom
size of the total moment: 0.30 μB per atom

Cell: 5.742 6.002 10.047 Å, 90.00 124.35 90.00°
Space group P2_1/c (No. 14)
Symmetry-distinct sites (fractional):
Pr 0.231 0.057 0.249 (multiplicity 4)
Tm 0.500 0.000 0.000 (multiplicity 2)
Mo 0.000 0.000 0.500 (multiplicity 2)
O 0.128 0.199 0.937 (multiplicity 4)
O 0.237 0.697 0.935 (multiplicity 4)
O 0.369 0.053 0.746 (multiplicity 4)

---

A plane-wave DFT calculation with GGA+U was carried out for a geometry-optimized PrTmMo2O8 structure.

Computed properties:
final energy: -184.4 eV for the cell shown
size of the total moment: 0.17 μB per atom

Cell: 5.304 5.304 11.253 Å, 90.00 90.00 90.00°
Space group I-4 (No. 82)
Symmetry-distinct sites (fractional):
Pr 0.000 0.000 0.000 (multiplicity 2)
Tm 0.000 0.500 0.750 (multiplicity 2)
Mo 0.000 0.000 0.500 (multiplicity 2)
Mo 0.000 0.500 0.250 (multiplicity 2)
O 0.168 0.233 0.588 (multiplicity 8)
O 0.191 0.763 0.162 (multiplicity 8)

---

A plane-wave DFT calculation with GGA+U was carried out for a geometry-optimized Pr2VMoO6 structure.

Computed properties:
final energy: -160.7 eV for the cell shown
Fermi-level density of states: 0.00 states/eV/atom
size of the total moment: 0.50 μB per atom

Cell: 5.585 5.904 9.727 Å, 90.00 124.73 90.00°
Space group P2_1/c (No. 14)
Symmetry-distinct sites (fractional):
Pr 0.233 0.059 0.251 (multiplicity 4)
V 0.000 0.000 0.500 (multiplicity 2)
Mo 0.500 0.000 0.000 (multiplicity 2)
O 0.134 0.203 0.942 (multiplicity 4)
O 0.245 0.694 0.949 (multiplicity 4)
O 0.347 0.040 0.742 (multiplicity 4)

---

A plane-wave DFT calculation with GGA+U was carried out for a geometry-optimized PrY2MoO8 structure.

Computed properties:
final energy: -191.8 eV for the cell shown
Fermi-level density of states: 0.37 states/eV/atom
size of the total moment: 0.08 μB per atom

Cell: 7.143 7.197 6.998 Å, 90.00 90.00 90.00°
Space group Cmmm (No. 65)
Symmetry-distinct sites (fractional):
Pr 0.000 0.000 0.000 (multiplicity 2)
Y 0.000 0.500 0.259 (multiplicity 4)
Mo 0.000 0.000 0.500 (multiplicity 2)
O 0.000 0.184 0.296 (multiplicity 8)
O 0.181 0.500 0.000 (multiplicity 4)
O 0.225 0.500 0.500 (multiplicity 4)

---

A plane-wave DFT calculation with GGA+U was carried out for a geometry-optimized Pr2YMoO6 structure.

Computed properties:
final energy: -164.8 eV for the cell shown
Fermi-level density of states: 0.00 states/eV/atom
size of the total moment: 0.30 μB per atom

Cell: 5.772 6.038 10.112 Å, 90.00 124.22 90.00°
Space group P2_1/c (No. 14)
Symmetry-distinct sites (fractional):
Pr 0.230 0.057 0.249 (multiplicity 4)
Y 0.500 0.000 0.000 (multiplicity 2)
Mo 0.000 0.000 0.500 (multiplicity 2)
O 0.121 0.200 0.934 (multiplicity 4)
O 0.233 0.694 0.933 (multiplicity 4)
O 0.371 0.057 0.744 (multiplicity 4)

---

A plane-wave DFT calculation with GGA+U was carried out for a geometry-optimized PrYMo2O8 structure.

Computed properties:
final energy: -188.1 eV for the cell shown
size of the total moment: 0.17 μB per atom

Cell: 5.336 5.336 11.346 Å, 90.00 90.00 90.00°
Space group I-4 (No. 82)
Symmetry-distinct sites (fractional):
Pr 0.000 0.000 0.000 (multiplicity 2)
Y 0.000 0.500 0.750 (multiplicity 2)
Mo 0.000 0.000 0.500 (multiplicity 2)
Mo 0.000 0.500 0.250 (multiplicity 2)
O 0.166 0.233 0.587 (multiplicity 8)
O 0.186 0.762 0.162 (multiplicity 8)

---

A plane-wave DFT calculation with GGA+U was carried out for a geometry-optimized PrZnMo2O6 structure.

Computed properties:
final energy: -140.0 eV for the cell shown
size of the total moment: 0.50 μB per atom

Cell: 5.513 5.854 9.847 Å, 90.00 123.80 90.00°
Space group Pc (No. 7)
Symmetry-distinct sites (fractional):
Pr 0.000 0.194 0.000 (multiplicity 2)
Zn 0.501 0.135 0.503 (multiplicity 2)
Mo 0.272 0.264 0.749 (multiplicity 2)
Mo 0.779 0.271 0.254 (multiplicity 2)
O 0.014 0.441 0.189 (multiplicity 2)
O 0.152 0.217 0.498 (multiplicity 2)
O 0.421 0.243 0.004 (multiplicity 2)
O 0.542 0.055 0.317 (multiplicity 2)
O 0.647 0.447 0.806 (multiplicity 2)
O 0.903 0.044 0.694 (multiplicity 2)

---

A plane-wave DFT calculation with GGA+U was carried out for a geometry-optimized PrZr2MoO8 structure.

Computed properties:
final energy: -204.1 eV for the cell shown
size of the total moment: 0.08 μB per atom

Cell: 6.990 7.122 6.704 Å, 90.00 90.00 90.00°
Space group Cmmm (No. 65)
Symmetry-distinct sites (fractional):
Pr 0.000 0.000 0.000 (multiplicity 2)
Zr 0.000 0.500 0.255 (multiplicity 4)
Mo 0.000 0.000 0.500 (multiplicity 2)
O 0.000 0.295 0.500 (multiplicity 4)
O 0.000 0.324 0.000 (multiplicity 4)
O 0.199 0.000 0.290 (multiplicity 8)

---

A plane-wave DFT calculation with GGA+U was carried out for a geometry-optimized MoPtO2 structure.

Computed properties:
final energy: -78.2 eV for the cell shown
energy above the most stable polymorph in this dataset: 0.0000 eV per atom
Fermi-level density of states: 0.50 states/eV/atom
size of the total moment: 0.00 μB per atom

Cell: 2.8027 2.8027 20.4153 Å, 90.00 90.00 120.00°
Space group R-3m (No. 166, hexagonal axes)
Symmetry-distinct sites (fractional):
Mo 0.0000 0.0000 0.0000 (multiplicity 3)
Pt 0.0000 0.0000 0.5000 (multiplicity 3)
O 0.0000 0.0000 0.4006 (multiplicity 6)

---

A plane-wave DFT calculation with GGA+U was carried out for a geometry-optimized Mo3PtO structure.

Computed properties:
final energy: -30.1 eV for the cell shown
energy above the most stable polymorph in this dataset: 0.0000 eV per atom
Fermi-level density of states: 0.86 states/eV/atom
size of the total moment: 0.03 μB per atom

Cell: 4.148 4.148 4.148 Å, 90.00 90.00 90.00°
Space group Pm-3m (No. 221)
Symmetry-distinct sites (fractional):
Mo 0.000 0.000 0.500 (multiplicity 3)
Pt 0.500 0.500 0.500 (multiplicity 1)
O 0.000 0.000 0.000 (multiplicity 1)

---

A plane-wave DFT calculation with GGA+U was carried out for a geometry-optimized Mo3PtO structure.

Computed properties:
final energy: -22.6 eV for the cell shown
energy above the most stable polymorph in this dataset: 1.4932 eV per atom
Fermi-level density of states: 0.87 states/eV/atom
size of the total moment: 2.50 μB per atom

Cell: 5.245 5.245 5.245 Å, 90.00 90.00 90.00°
Space group Pm-3m (No. 221)
Symmetry-distinct sites (fractional):
Mo 0.000 0.000 0.500 (multiplicity 3)
Pt 0.000 0.000 0.000 (multiplicity 1)
O 0.500 0.500 0.500 (multiplicity 1)

---

A plane-wave DFT calculation with GGA+U was carried out for a geometry-optimized Mo2Pt2O structure.

Computed properties:
final energy: -53.4 eV for the cell shown
energy above the most stable polymorph in this dataset: 0.0000 eV per atom
Fermi-level density of states: 0.62 states/eV/atom
size of the total moment: 0.42 μB per atom

Cell: 6.301 6.301 4.070 Å, 90.00 90.00 90.00°
Space group P4/mbm (No. 127)
Symmetry-distinct sites (fractional):
Mo 0.140 0.360 0.000 (multiplicity 4)
Pt 0.155 0.655 0.500 (multiplicity 4)
O 0.000 0.000 0.500 (multiplicity 2)

---

A plane-wave DFT calculation with GGA+U was carried out for a geometry-optimized Mo2Pt2O structure.

Computed properties:
final energy: -51.0 eV for the cell shown
energy above the most stable polymorph in this dataset: 0.2399 eV per atom
Fermi-level density of states: 0.74 states/eV/atom
size of the total moment: 0.11 μB per atom

Cell: 3.585 3.585 13.285 Å, 90.00 90.00 90.00°
Space group I4/mmm (No. 139)
Symmetry-distinct sites (fractional):
Mo 0.000 0.500 0.250 (multiplicity 4)
Pt 0.000 0.000 0.100 (multiplicity 4)
O 0.000 0.000 0.500 (multiplicity 2)

---

A plane-wave DFT calculation with GGA+U was carried out for a geometry-optimized Mo2PtO structure.

Computed properties:
final energy: -98.8 eV for the cell shown
Fermi-level density of states: 0.51 states/eV/atom
size of the total moment: 1.45 μB per atom

Cell: 6.313 6.313 6.787 Å, 90.00 90.00 90.00°
Space group I-42d (No. 122)
Symmetry-distinct sites (fractional):
Mo 0.170 0.250 0.125 (multiplicity 8)
Pt 0.000 0.000 0.500 (multiplicity 4)
O 0.000 0.000 0.000 (multiplicity 4)

---

A plane-wave DFT calculation with GGA+U was carried out for a geometry-optimized MoPtO2 structure.

Computed properties:
final energy: -97.3 eV for the cell shown
energy above the most stable polymorph in this dataset: 0.4321 eV per atom
Fermi-level density of states: 0.40 states/eV/atom
size of the total moment: 0.48 μB per atom

Cell: 4.060 4.060 12.872 Å, 90.00 90.00 90.00°
Space group I-42d (No. 122)
Symmetry-distinct sites (fractional):
Mo 0.000 0.000 0.000 (multiplicity 4)
Pt 0.000 0.000 0.500 (multiplicity 4)
O 0.206 0.250 0.125 (multiplicity 8)

---

A plane-wave DFT calculation with GGA+U was carried out for a geometry-optimized RbMo2PtO8 structure.

Computed properties:
final energy: -76.9 eV for the cell shown
Fermi-level density of states: 0.38 states/eV/atom
size of the total moment: 0.09 μB per atom

Cell: 5.5251 5.5251 8.2681 Å, 90.00 90.00 120.00°
Space group P-3 (No. 147)
Symmetry-distinct sites (fractional):
Rb 0.0000 0.0000 0.0000 (multiplicity 1)
Mo 0.3333 0.6667 0.7129 (multiplicity 2)
Pt 0.0000 0.0000 0.5000 (multiplicity 1)
O 0.0529 0.3239 0.6484 (multiplicity 6)
O 0.3333 0.6667 0.9251 (multiplicity 2)

---

A plane-wave DFT calculation with GGA+U was carried out for a geometry-optimized RbMoPtO6 structure.

Computed properties:
final energy: -217.5 eV for the cell shown
Fermi-level density of states: 0.51 states/eV/atom
size of the total moment: 0.00 μB per atom

Cell: 7.155 7.415 10.397 Å, 90.00 90.00 90.00°
Space group Imma (No. 74)
Symmetry-distinct sites (fractional):
Rb 0.000 0.250 0.122 (multiplicity 4)
Mo 0.000 0.000 0.500 (multiplicity 4)
Pt 0.250 0.250 0.750 (multiplicity 4)
O 0.000 0.250 0.439 (multiplicity 4)
O 0.000 0.250 0.826 (multiplicity 4)
O 0.193 0.058 0.622 (multiplicity 16)

---

A plane-wave DFT calculation with GGA+U was carried out for a geometry-optimized SbMo2PtO structure.

Computed properties:
final energy: -21.6 eV for the cell shown
Fermi-level density of states: 0.80 states/eV/atom
size of the total moment: 1.45 μB per atom

Cell: 5.541 5.541 4.891 Å, 90.00 90.00 90.00°
Space group P4/mmm (No. 123)
Symmetry-distinct sites (fractional):
Sb 0.000 0.000 0.000 (multiplicity 1)
Mo 0.000 0.500 0.000 (multiplicity 2)
Pt 0.000 0.000 0.500 (multiplicity 1)
O 0.500 0.500 0.500 (multiplicity 1)

---

A plane-wave DFT calculation with GGA+U was carried out for a geometry-optimized MoPtSeO2 structure.

Computed properties:
final energy: -29.4 eV for the cell shown
Fermi-level density of states: 0.33 states/eV/atom
size of the total moment: 0.22 μB per atom

Cell: 3.791 3.791 5.802 Å, 90.00 90.00 90.00°
Space group P4/mmm (No. 123)
Symmetry-distinct sites (fractional):
Mo 0.000 0.000 0.000 (multiplicity 1)
Pt 0.500 0.500 0.500 (multiplicity 1)
Se 0.000 0.000 0.500 (multiplicity 1)
O 0.000 0.500 0.000 (multiplicity 2)

---

A plane-wave DFT calculation with GGA+U was carried out for a geometry-optimized TiMo2PtO structure.

Computed properties:
final energy: -31.8 eV for the cell shown
Fermi-level density of states: 0.70 states/eV/atom
size of the total moment: 0.18 μB per atom

Cell: 4.112 4.112 4.413 Å, 90.00 90.00 90.00°
Space group P4/mmm (No. 123)
Symmetry-distinct sites (fractional):
Ti 0.000 0.000 0.000 (multiplicity 1)
Mo 0.000 0.500 0.500 (multiplicity 2)
Pt 0.500 0.500 0.000 (multiplicity 1)
O 0.500 0.500 0.500 (multiplicity 1)

---

A plane-wave DFT calculation with GGA+U was carried out for a geometry-optimized TlMo2PtO8 structure.

Computed properties:
final energy: -76.1 eV for the cell shown
Fermi-level density of states: 0.54 states/eV/atom
size of the total moment: 0.08 μB per atom

Cell: 5.8459 5.8459 7.6665 Å, 90.00 90.00 120.00°
Space group P-3m1 (No. 164)
Symmetry-distinct sites (fractional):
Tl 0.0000 0.0000 0.0000 (multiplicity 1)
Mo 0.3333 0.6667 0.2660 (multiplicity 2)
Pt 0.0000 0.0000 0.5000 (multiplicity 1)
O 0.1618 0.3236 0.3362 (multiplicity 6)
O 0.3333 0.6667 0.0376 (multiplicity 2)

---

| no. | volume (A^3/atom) |
| --- | --- |
| 1 | 14.3 |
| 2 | 13.2 |
| 3 | 13.2 |
| 4 | 15.0 |
| 5 | 14.6 |
| 6 | 13.5 |
| 7 | 13.2 |
| 8 | 13.9 |
| 9 | 11.6 |
| 10 | 14.3 |
| 11 | 28.9 |
| 12 | 16.2 |
| 13 | 17.1 |
| 14 | 16.9 |
| 15 | 13.3 |
| 16 | 18.2 |
| 17 | 15.3 |
| 18 | 30.0 |
| 19 | 16.7 |
| 20 | 14.9 |
| 21 | 18.9 |